1.
An optimized crystal structure of V3SnO. Source: Alexandria, functional PBE+U.

abc: 4.134 4.134 4.134
angles: 90.00 90.00 90.00
Last column: magnetic moment on the atom in μB.
Fractional coordinates of all 5 atoms:
O (0.000, 0.000, 0.000)  -0.03
V (0.000, 0.000, 0.500)  0.90
V (0.000, 0.500, 0.000)  0.90
Sn (0.500, 0.500, 0.500)  -0.05
V (0.500, 0.000, 0.000)  0.90

Its total DFT energy (no corrections) is -6.0495 eV per atom. Its magnetization is 2.83 μB/f.u. The value obtained for the energy above the lowest structure with this stoichiometry is 0.00 eV per formula unit.


2.
An optimized crystal structure of VSnO4. Source: Alexandria, functional PBE+U.

abc: 5.637 5.637 5.637
angles: 108.15 108.15 112.14
Last column: magnetic moment on the atom in μB.
Fractional coordinates of all 12 atoms:
Sn (0.249, 0.249, 0.000)  0.03
O (0.321, 0.511, 0.810)  -0.02
Sn (0.999, 0.499, 0.500)  0.03
O (0.790, 0.990, 0.799)  -0.05
V (0.748, 0.748, 0.000)  1.07
O (0.702, 0.511, 0.190)  -0.02
O (0.740, 0.441, 0.701)  -0.05
O (0.261, 0.952, 0.690)  -0.02
O (0.740, 0.040, 0.299)  -0.05
V (0.498, 0.998, 0.500)  1.07
O (0.261, 0.571, 0.310)  -0.02
O (0.191, 0.990, 0.201)  -0.05

Its total DFT energy (no corrections) is -7.0096 eV per atom. Its magnetization is 1.00 μB/f.u.


3.
An optimized crystal structure of VSnO4. Source: Alexandria, functional PBE+U.

abc: 4.970 4.970 8.989
angles: 90.00 90.00 90.00
Fractional coordinates of all 12 atoms:
O (0.713, 0.190, 0.634)
Sn (0.000, 0.000, 0.500)
O (0.287, 0.810, 0.634)
O (0.810, 0.713, 0.366)
O (0.190, 0.287, 0.366)
V (0.500, 0.000, 0.750)
O (0.810, 0.287, 0.134)
O (0.713, 0.810, 0.866)
O (0.287, 0.190, 0.866)
V (0.000, 0.500, 0.250)
O (0.190, 0.713, 0.134)
Sn (0.000, 0.000, 0.000)

Its total DFT energy (no corrections) is -6.7037 eV per atom. Its magnetization is 0.00 μB/f.u.


4.
An optimized crystal structure of VSnO. Source: Alexandria, functional PBE+U.

abc: 5.962 4.623 10.503
angles: 79.45 73.51 49.84
Last column: magnetic moment on the atom in μB.
Fractional coordinates of all 12 atoms:
O (0.571, 0.859, 0.500)  -0.06
Sn (0.574, 0.000, 0.853)  -0.06
O (0.179, 0.641, 0.000)  -0.06
V (0.070, 0.000, 0.859)  1.92
O (0.821, 0.359, 0.000)  -0.06
V (0.820, 0.500, 0.359)  1.92
V (0.680, 0.500, 0.641)  1.92
O (0.929, 0.141, 0.500)  -0.06
Sn (0.176, 0.500, 0.647)  -0.06
V (0.930, 0.000, 0.141)  1.92
Sn (0.324, 0.500, 0.353)  -0.06
Sn (0.426, 0.000, 0.147)  -0.06

Its total DFT energy (no corrections) is -5.8302 eV per atom. Its magnetization is 1.99 μB/f.u.